DFT (GGA+U) results for crystalline PaTlFe2O8 at its relaxed geometry.

Calculated values
**N(E_F)**: 5.433 states/eV/cell
**V**: 335 Å³/cell
**E_tot**: -6.80 eV/atom

a b c (Å): 7.0897 7.0897 6.6585
angles (deg): 90.00 90.00 90.00
Closest atoms and distances in Å follow each position.
Space group I-4m2 (No. 119)
Asymmetric unit:
Pa 0.0000 0.0000 0.0000 x2  8 O 2.20-2.40
Tl 0.0000 0.5000 0.7500 x2  8 O 2.34-2.46
Fe 0.0000 0.0000 0.5000 x2  4 O 1.78
Fe 0.0000 0.5000 0.2500 x2  4 O 1.89
O 0.0000 0.1752 0.6907 x8  1 Fe 1.78
O 0.0000 0.3053 0.0562 x8  1 Fe 1.89

---

DFT (GGA+U) results for crystalline PaTl2FeO6 at its relaxed geometry.

Calculated values
**N(E_F)**: 18.359 states/eV/cell
**V**: 581 Å³/cell
**E_tot**: -6.68 eV/atom

a b c (Å): 8.3430 8.3430 8.3430
angles (deg): 90.00 90.00 90.00
Closest atoms and distances in Å follow each position.
Space group Fm-3m (No. 225)
Asymmetric unit:
Pa 0.0000 0.0000 0.0000 x4  6 O 2.16
Tl 0.2500 0.2500 0.2500 x8  12 O 2.95
Fe 0.0000 0.0000 0.5000 x4  6 O 2.01
O 0.0000 0.0000 0.2587 x24  1 Fe 2.01, 1 Pa 2.16

---

DFT (GGA+U) results for crystalline PaVFeO6 at its relaxed geometry.

Calculated values
**V**: 224 Å³/cell
**E_tot**: -8.14 eV/atom

a b c (Å): 5.4140 5.4140 8.8097
angles (deg): 90.00 90.00 120.00
Closest atoms and distances in Å follow each position.
Space group P-31c (No. 163)
Asymmetric unit:
Pa 0.3333 0.6667 0.2500 x2  6 O 2.18
V 0.3333 0.6667 0.7500 x2  6 O 1.91
Fe 0.0000 0.0000 0.0000 x2  6 O 2.24
O 0.0371 0.3699 0.6324 x12  1 V 1.91